Material: Nd3Bi2N
Method: DFT, PBE
State: optimized geometry

## Properties
As for the energy: -5.96 eV/atom.

CIF file:
```
data_Nd3Bi2N
_chemical_formula_sum 'Nd3 Bi2 N1'
_cell_length_a 4.0888
_cell_length_b 4.0888
_cell_length_c 11.3648
_cell_angle_alpha 90.00
_cell_angle_beta 90.00
_cell_angle_gamma 120.00
_symmetry_space_group_name_H-M 'P -3 m 1'
_symmetry_Int_Tables_number 164
_symmetry_space_group_name_Hall '-P 3 2"'
loop_
_atom_site_label
_atom_site_type_symbol
_atom_site_fract_x
_atom_site_fract_y
_atom_site_fract_z
_atom_site_occupancy
Nd1 Nd 0.0000 0.0000 0.0000 1
Nd2 Nd 0.3333 0.6667 0.3828 1
Bi1 Bi 0.3333 0.6667 0.8126 1
N1 N 0.0000 0.0000 0.5000 1
```